A plane-wave DFT calculation with PBE was carried out for a relaxed structure of Pm4CoHI2.

**Calculated density**: 6.84 Mg/m³
**Raw total energy**: -4.643 eV per atom

a b c (Å): 6.801 4.017 8.255
angles (deg): 90.00 105.84 90.00
Space group P2/m (No. 10)
One atom of each set of equivalent atoms:
Pm 0.233 0.000 0.179 (multiplicity 2)
Pm 0.267 0.500 0.817 (multiplicity 2)
Co 0.000 0.500 0.000 (multiplicity 1)
H 0.500 0.000 0.000 (multiplicity 1)
I 0.000 0.000 0.500 (multiplicity 1)
I 0.500 0.500 0.500 (multiplicity 1)